Record 1
A crystal of MgP2Pb relaxed with PBEsol. Source: Alexandria via LeMat-Bulk, functional SCAN.

a = 3.3300 Å, b = 3.3300 Å, c = 26.1706 Å
α = 90.00°, β = 90.00°, γ = 120.00°
Space group R3m (No. 160, hexagonal axes)
One atom of each set of equivalent atoms:
1 Mg 0.0000 0.0000 0.0000
2 P 0.0000 0.0000 0.2523
3 P 0.0000 0.0000 0.5374
4 Pb 0.0000 0.0000 0.7646

Crystal system   trigonal
E_form   0.1 eV per formula unit
Theoretical density   5.82 g cm⁻³
Spin magnetization   0.00 μB/f.u.

***

Record 2
A crystal of La4MnIn relaxed with PBEsol. Source: Alexandria via LeMat-Bulk, functional SCAN.

a = 8.9824 Å, b = 8.9824 Å, c = 8.9824 Å
α = 90.00°, β = 90.00°, γ = 90.00°
Space group F-43m (No. 216)
One atom of each set of equivalent atoms:
1 La 0.1244 0.1244 0.1244
2 Mn 0.0000 0.0000 0.5000
3 In 0.2500 0.2500 0.7500

Crystal system   cubic
E_form   1.4 eV per formula unit
Theoretical density   6.65 g cm⁻³
Spin magnetization   4.05 μB/f.u.

***

Record 3
A crystal of ScZnGaBi2 relaxed with PBEsol. Source: Alexandria via LeMat-Bulk, functional SCAN.

a = 5.4776 Å, b = 5.4776 Å, c = 5.2479 Å
α = 90.00°, β = 90.00°, γ = 90.00°
Space group P4/mmm (No. 123)
One atom of each set of equivalent atoms:
1 Sc 0.0000 0.0000 0.0000
2 Zn 0.0000 0.0000 0.5000
3 Ga 0.5000 0.5000 0.5000
4 Bi 0.0000 0.5000 0.0000

Crystal system   tetragonal
E_form   1.9 eV per formula unit
Theoretical density   6.31 g cm⁻³
Spin magnetization   0.00 μB/f.u.

***

Record 4
A crystal of KMg2In relaxed with PBEsol. Source: Alexandria via LeMat-Bulk, functional SCAN.

a = 3.6080 Å, b = 3.6080 Å, c = 8.9406 Å
α = 90.00°, β = 90.00°, γ = 90.00°
Space group P4mm (No. 99)
One atom of each set of equivalent atoms:
1 K 0.0000 0.0000 0.0000
2 Mg 0.0000 0.0000 0.5261
3 Mg 0.5000 0.5000 0.3249
4 In 0.5000 0.5000 0.7101

Crystal system   tetragonal
E_form   -0.1 eV per formula unit
Theoretical density   2.89 g cm⁻³
Spin magnetization   0.13 μB/f.u.

***

Record 5
A crystal of Er relaxed with PBEsol. Source: Alexandria via LeMat-Bulk, functional SCAN.

a = 3.4565 Å, b = 3.4565 Å, c = 24.8160 Å
α = 90.00°, β = 90.00°, γ = 120.00°
Space group R-3m (No. 166, hexagonal axes)
One atom of each set of equivalent atoms:
1 Er 0.0000 0.0000 0.0000
2 Er 0.0000 0.0000 0.2222

Distance to the lowest polymorph of the same formula   0 meV/atom
Crystal system   trigonal
E_form   0.0 eV per formula unit
Theoretical density   9.74 g cm⁻³
Spin magnetization   0.04 μB/f.u.

***

Record 6
A crystal of SrCdW2 relaxed with PBEsol. Source: Alexandria via LeMat-Bulk, functional SCAN.

a = 9.0480 Å, b = 2.7715 Å, c = 6.8146 Å
α = 90.00°, β = 93.46°, γ = 90.00°
Space group Cm (No. 8)
One atom of each set of equivalent atoms:
1 Sr 0.0000 0.0000 0.0000
2 Cd 0.2536 0.5000 0.3106
3 W 0.2416 0.0000 0.6975
4 W 0.4897 0.0000 0.5388

Crystal system   monoclinic
E_form   3.6 eV per formula unit
Theoretical density   11.05 g cm⁻³
Spin magnetization   0.00 μB/f.u.

***

Fermi-level density of states per entry: 1.64, 6.15, 2.11, 2.25, 1.17, 2.89 states/eV/f.u.